Compound: KTlSb2
Source: the Alexandria database
Functional: PBE
Structure: optimized geometry

formation energy without anion corrections = 0 meV per atom
crystal system = cubic
energy above the lowest structure with this stoichiometry = 209 meV per atom
DOS(E_F) = 0.846 states/eV/atom

a b c (Å): 5.633 5.633 5.633
angles (deg): 60.00 60.00 60.00
Fractional coordinates of all 4 atoms:
K (0.000, 0.000, 0.000)
Tl (0.250, 0.250, 0.250)
Sb (0.500, 0.500, 0.500)
Sb (0.750, 0.750, 0.750)